Material: Na2LaNiPb
Method: DFT, PBE-GGA
State: relaxed

Calculated values
**N(E_F)**: 0.67 states/eV/atom
**Volume**: 29.23 A^3/atom
**Crystal system**: tetragonal
**Space-group type**: P4/mmm, No. 123
**Formation energy from the elements**: 93.5 meV/atom

```
Na2LaNiPb
1.0
-0.434 -0.132 5.247
4.115 -3.283 0.258
3.262 4.118 0.373
Pb Ni Na La
1 1 2 1
direct
0.500 0.500 0.500
0.000 0.000 0.000
0.000 0.000 0.500
0.500 0.000 0.000
0.000 0.500 0.000
```